(1)
{
  "formula": "Pm2Tm3Cd2",
  "functional": "PBE",
  "state": "optimized geometry",
  "de_polymorph_ev_per_atom": 0.0332,
  "n_ef_per_ev_cell": 8.34,
  "formation_enthalpy_0k_ev_per_atom": -0.1055,
  "cell": [[0.2907, -3.5244, 0.1935], [2.1550, 0.3283, 2.7423], [-13.0036, 1.2597, 10.0681]],
  "species": ["Tm", "Pm", "Cd", "Tm", "Cd", "Tm", "Pm"],
  "fractional_positions": [[0.0000, 0.0000, 0.0000], [0.7021, 0.5000, 0.4042], [0.8650, 0.0000, 0.7299], [0.5734, 0.5000, 0.1468], [0.1350, 0.0000, 0.2701], [0.4266, 0.5000, 0.8532], [0.2979, 0.5000, 0.5958]]
}

(2)
{
  "formula": "Pm4CdIn2Hg",
  "functional": "PBE",
  "state": "optimized geometry",
  "n_ef_per_ev_cell": 10.16,
  "formation_enthalpy_0k_ev_per_atom": -0.4492,
  "cell": [[5.4386, 0.0000, 0.0000], [2.7193, 4.7099, 0.0000], [2.7193, 1.5700, 8.8775]],
  "species": ["Pm", "Pm", "In", "Pm", "Pm", "Cd", "Hg", "In"],
  "fractional_positions": [[0.6237, 0.6237, 0.1288], [0.8738, 0.8738, 0.3787], [0.2518, 0.2518, 0.2445], [0.1262, 0.1262, 0.6213], [0.3763, 0.3763, 0.8712], [0.0000, 0.0000, 0.0000], [0.5000, 0.5000, 0.5000], [0.7482, 0.7482, 0.7555]]
}